Entry 1:
LaLuHg6: relaxed, GGA-PBE.

a = 6.6612 Å, b = 6.6612 Å, c = 5.0431 Å
α = 90.00°, β = 90.00°, γ = 120.00°
With the nearest neighbours (Å) after each atom.
Atoms (fractional coordinates):
La (0.0000, 0.0000, 0.0000)  12 Hg 3.21-3.33
Lu (0.3333, 0.6667, 0.5000)  12 Hg 3.15-3.33
Hg (0.0057, 0.5029, 0.0000)  2 Lu 3.15, 8 Hg 3.16-3.39, 2 La 3.33
Hg (0.3452, 0.1726, 0.5000)  8 Hg 3.16-3.45, 2 La 3.21, 2 Lu 3.33
Hg (0.4971, 0.5029, 0.0000)  2 Lu 3.15, 8 Hg 3.16-3.39, 2 La 3.33
Hg (0.4971, 0.9943, 0.0000)  2 Lu 3.15, 8 Hg 3.16-3.39, 2 La 3.33
Hg (0.8274, 0.1726, 0.5000)  8 Hg 3.16-3.45, 2 La 3.21, 2 Lu 3.33
Hg (0.8274, 0.6548, 0.5000)  8 Hg 3.16-3.45, 2 La 3.21, 2 Lu 3.33

## Properties
Spin magnetization (μB per atom): 0.0000
V (Å³/f.u.): 194
ΔE_f (meV/atom): -338.4



Entry 2:
TmMo: relaxed, GGA-PBE.

a = 4.0138 Å, b = 4.0138 Å, c = 4.0138 Å
α = 60.00°, β = 60.00°, γ = 60.00°
With the nearest neighbours (Å) after each atom.
Atoms (fractional coordinates):
Tm (0.0000, 0.0000, 0.0000)  6 Mo 2.84
Mo (0.5000, 0.5000, 0.5000)  6 Tm 2.84

## Properties
Spin magnetization (μB per atom): 0.0005
Excess energy over the best structure of this formula in the dataset (meV per atom): 735
V (Å³/f.u.): 46
ΔE_f (meV/atom): 1297.5



Entry 3:
SrCdSeO: relaxed, GGA-PBE.

a = 7.5133 Å, b = 7.6424 Å, c = 13.0702 Å
α = 90.00°, β = 90.00°, γ = 90.00°
With the nearest neighbours (Å) after each atom.
Atoms (fractional coordinates):
Sr (0.1259, 0.0611, 0.2164)  3 O 2.41-2.48
Sr (0.1259, 0.4389, 0.7164)  3 O 2.41-2.48
Sr (0.3741, 0.5611, 0.2164)  3 O 2.41-2.48
Sr (0.3741, 0.9389, 0.7164)  3 O 2.41-2.48
Sr (0.6259, 0.0611, 0.2836)  3 O 2.41-2.48
Sr (0.6259, 0.4389, 0.7836)  3 O 2.41-2.48
Sr (0.8741, 0.5611, 0.2836)  3 O 2.41-2.48
Sr (0.8741, 0.9389, 0.7836)  3 O 2.41-2.48
Cd (0.0351, 0.7200, 0.0476)  1 O 2.19
Cd (0.0351, 0.7800, 0.5476)  1 O 2.19
Cd (0.4649, 0.2200, 0.0476)  1 O 2.19
Cd (0.4649, 0.2800, 0.5476)  1 O 2.19
Cd (0.5351, 0.7200, 0.4524)  1 O 2.19
Cd (0.5351, 0.7800, 0.9524)  1 O 2.19
Cd (0.9649, 0.2200, 0.4524)  1 O 2.19
Cd (0.9649, 0.2800, 0.9524)  1 O 2.19
Se (0.2330, 0.5308, 0.4579)  3 Cd 2.69-2.84
Se (0.2330, 0.9692, 0.9579)  3 Cd 2.69-2.84
Se (0.2670, 0.0308, 0.4579)  3 Cd 2.69-2.84
Se (0.2670, 0.4692, 0.9579)  3 Cd 2.69-2.84
Se (0.7330, 0.5308, 0.0421)  3 Cd 2.69-2.84
Se (0.7330, 0.9692, 0.5421)  3 Cd 2.69-2.84
Se (0.7670, 0.0308, 0.0421)  3 Cd 2.69-2.84
Se (0.7670, 0.4692, 0.5421)  3 Cd 2.69-2.84
O (0.1067, 0.7376, 0.2097)  1 Cd 2.19, 2 Sr 2.41-2.42
O (0.1067, 0.7624, 0.7097)  1 Cd 2.19, 2 Sr 2.41-2.42
O (0.3933, 0.2376, 0.2097)  1 Cd 2.19, 2 Sr 2.41-2.42
O (0.3933, 0.2624, 0.7097)  1 Cd 2.19, 2 Sr 2.41-2.42
O (0.6067, 0.7376, 0.2903)  1 Cd 2.19, 2 Sr 2.41-2.42
O (0.6067, 0.7624, 0.7903)  1 Cd 2.19, 2 Sr 2.41-2.42
O (0.8933, 0.2376, 0.2903)  1 Cd 2.19, 2 Sr 2.41-2.42
O (0.8933, 0.2624, 0.7903)  1 Cd 2.19, 2 Sr 2.41-2.42

## Properties
Calculated total energy (eV/atom): -4.33
V (Å³/f.u.): 94



Entry 4:
Dy2ErTl3AgPt2: relaxed, GGA-PBE.

a = 3.7560 Å, b = 7.9183 Å, c = 7.9183 Å
α = 119.90°, β = 90.00°, γ = 90.00°
With the nearest neighbours (Å) after each atom.
Atoms (fractional coordinates):
Dy (0.0000, 0.2050, 0.7950)  4 Pt 3.05, 2 Tl 3.15, 1 Ag 3.25
Dy (0.0000, 0.7950, 0.2050)  4 Pt 3.05, 2 Tl 3.15, 1 Ag 3.25
Er (0.0000, 0.3845, 0.3845)  4 Pt 3.03, 2 Tl 3.15, 1 Ag 3.25
Tl (0.5000, 0.0657, 0.0657)  2 Ag 2.86, 2 Pt 2.91, 2 Er 3.15
Tl (0.5000, 0.5243, 0.7946)  2 Ag 2.85, 2 Pt 2.92-2.93, 2 Dy 3.15
Tl (0.5000, 0.7946, 0.5243)  2 Ag 2.85, 2 Pt 2.92-2.93, 2 Dy 3.15
Ag (0.0000, 0.7946, 0.7946)  6 Tl 2.85-2.86
Pt (0.5000, 0.1296, 0.4612)  3 Tl 2.91-2.93, 2 Er 3.03, 4 Dy 3.05
Pt (0.5000, 0.4612, 0.1296)  3 Tl 2.91-2.93, 2 Er 3.03, 4 Dy 3.05

## Properties
Spin magnetization (μB per atom): 0.0036
Calculated total energy (eV/atom): -4.63
V (Å³/f.u.): 204



Entry 5:
RbPaNb: relaxed, GGA-PBE.

a = 5.0547 Å, b = 5.0547 Å, c = 5.0547 Å
α = 60.00°, β = 60.00°, γ = 60.00°
With the nearest neighbours (Å) after each atom.
Atoms (fractional coordinates):
Rb (0.0000, 0.0000, 0.0000)  4 Nb 3.10
Pa (0.5000, 0.5000, 0.5000)  4 Nb 3.10
Nb (0.7500, 0.7500, 0.7500)  4 Pa 3.10, 4 Rb 3.10

## Properties
Spin magnetization (μB per atom): 0.0102
Excess energy over the best structure of this formula in the dataset (meV per atom): 0
V (Å³/f.u.): 91



Entry 6:
Ba4Pt: relaxed, GGA-PBE.

a = 8.7777 Å, b = 8.7777 Å, c = 10.6927 Å
α = 126.02°, β = 126.02°, γ = 63.73°
With the nearest neighbours (Å) after each atom.
Atoms (fractional coordinates):
Ba (0.0302, 0.0302, 0.3314)  2 Pt 3.15
Ba (0.0349, 0.5341, 0.8185)  1 Pt 3.10
Ba (0.4659, 0.9651, 0.1815)  1 Pt 3.10
Ba (0.4700, 0.4700, 0.6681)  2 Pt 3.15
Ba (0.5300, 0.5300, 0.3319)  2 Pt 3.15
Ba (0.5341, 0.0349, 0.8185)  1 Pt 3.10
Ba (0.9651, 0.4659, 0.1815)  1 Pt 3.10
Ba (0.9698, 0.9698, 0.6686)  2 Pt 3.15
Pt (0.2496, 0.7504, 0.5000)  6 Ba 3.10-3.15
Pt (0.7504, 0.2496, 0.5000)  6 Ba 3.10-3.15

## Properties
Spin magnetization (μB per atom): 0.0037
Calculated total energy (eV/atom): -3.16
V (Å³/f.u.): 267



Question: Which of these has the lowest V?
Answer: TmMo



Question: Number 5 is which compound?
Answer: RbPaNb



Question: What is the formula in the third record?
Answer: SrCdSeO



Question: Number 4 is which compound?
Answer: Dy2ErTl3AgPt2